LiPr4Zn: optimized geometry, PBE-GGA.

Properties
Calculated total energy = -3.493 eV per atom
E_form = 0.225 eV/atom
Volume = 200 Å³/cell

Cell: 5.0344 5.0344 7.9002 Å, 90.00 90.00 90.00°
With the nearest neighbours (Å) after each atom.
Space group P4/mmm (No. 123)
Inequivalent atoms, fractional coordinates:
Li (0.0000, 0.0000, 0.0000) [1 per cell]  8 Pr 3.30
Pr (0.0000, 0.5000, 0.2696) [4 per cell]  2 Zn 3.11, 2 Li 3.30
Zn (0.5000, 0.5000, 0.5000) [1 per cell]  8 Pr 3.11

***

Ho2NbGa: optimized geometry, PBE-GGA.

Properties
Calculated total energy = -5.226 eV per atom
E_form = 0.337 eV/atom
Volume = 289 Å³/cell

Cell: 3.2262 3.2262 32.1100 Å, 90.00 90.00 120.00°
With the nearest neighbours (Å) after each atom.
Space group R-3m (No. 166, hexagonal axes)
Inequivalent atoms, fractional coordinates:
Ho (0.0000, 0.0000, 0.0929) [6 per cell]  1 Nb 2.98, 3 Ga 3.01, 6 Ho 3.23
Nb (0.0000, 0.0000, 0.0000) [3 per cell]  2 Ho 2.98, 6 Nb 3.23
Ga (0.0000, 0.0000, 0.5000) [3 per cell]  6 Ho 3.01, 6 Ga 3.23

***

CdCo3Se: optimized geometry, PBE-GGA.

Properties
Calculated total energy = -4.635 eV per atom
Raw formation energy = 2.54 eV/f.u.
Volume = 82 Å³/cell
Energy above the most stable polymorph in this dataset = 0.000 eV per atom

Cell: 4.3450 4.3450 4.3450 Å, 90.00 90.00 90.00°
With the nearest neighbours (Å) after each atom.
Space group Pm-3m (No. 221)
Inequivalent atoms, fractional coordinates:
Cd (0.0000, 0.0000, 0.0000) [1 per cell]  12 Co 3.07
Co (0.0000, 0.5000, 0.5000) [3 per cell]  2 Se 2.17
Se (0.5000, 0.5000, 0.5000) [1 per cell]  6 Co 2.17

***

Tl2Cu2Br: optimized geometry, PBE-GGA.

Properties
Calculated total energy = -2.815 eV per atom
Raw formation energy = 0.52 eV/f.u.
Volume = 226 Å³/cell

Cell: 7.7327 7.7327 3.7792 Å, 90.00 90.00 90.00°
With the nearest neighbours (Å) after each atom.
Space group P4/mbm (No. 127)
Inequivalent atoms, fractional coordinates:
Tl (0.1805, 0.3195, 0.0000) [4 per cell]  6 Cu 2.96-2.99
Cu (0.1111, 0.6111, 0.5000) [4 per cell]  1 Cu 2.43
Br (0.0000, 0.0000, 0.5000) [2 per cell]  4 Cu 3.13, 8 Tl 3.41

***

Na5DyPb6: optimized geometry, PBE-GGA.

Properties
Calculated total energy = -2.969 eV per atom
E_form = -0.182 eV/atom
Volume = 684 Å³/cell

Cell: 4.8699 14.6028 9.6173 Å, 90.00 90.00 90.00°
With the nearest neighbours (Å) after each atom.
Space group Cmmm (No. 65)
Inequivalent atoms, fractional coordinates:
Na (0.0000, 0.0000, 0.0000) [2 per cell]  8 Pb 3.42-3.50, 4 Na 3.45
Na (0.0000, 0.3251, 0.5000) [4 per cell]  2 Na 3.28, 8 Pb 3.34-3.43, 2 Dy 3.53
Na (0.0000, 0.3326, 0.0000) [4 per cell]  4 Na 3.43-3.45, 8 Pb 3.44-3.51
Dy (0.0000, 0.0000, 0.5000) [2 per cell]  8 Pb 3.34-3.38, 4 Na 3.53
Pb (0.0000, 0.1644, 0.2526) [8 per cell]  7 Na 3.34-3.45, 1 Dy 3.38, 4 Pb 3.42-3.49
Pb (0.0000, 0.5000, 0.2619) [4 per cell]  2 Dy 3.34, 4 Pb 3.42, 6 Na 3.43-3.51

***

PaInBO6: optimized geometry, PBE-GGA.

Properties
Calculated total energy = -7.632 eV per atom
Raw formation energy = -20.03 eV/f.u.
Volume = 117 Å³/cell

Cell: 4.5742 4.6497 5.9579 Å, 89.95 67.52 89.38°
With the nearest neighbours (Å) after each atom.
Space group P1 (No. 1)
Inequivalent atoms, fractional coordinates:
Pa (0.0000, 0.0000, 0.0000) [1 per cell]  3 O 2.01-2.03
In (0.2736, 0.5251, 0.4119) [1 per cell]  6 O 2.11-2.33
B (0.6655, 0.0693, 0.5010) [1 per cell]  3 O 1.38-1.39
O (0.2918, 0.7141, 0.0643) [1 per cell]  1 Pa 2.01, 1 In 2.22
O (0.4038, 0.2085, 0.6644) [1 per cell]  1 B 1.38
O (0.6384, 0.2840, 0.0840) [1 per cell]  1 Pa 2.01
O (0.6526, 0.8097, 0.3892) [1 per cell]  1 B 1.39
O (0.9594, 0.1975, 0.3892) [1 per cell]  1 B 1.39
O (0.9804, 0.7396, 0.7332) [1 per cell]  1 Pa 2.03, 1 In 2.11

***

Computed total magnetization (Bohr magnetons per cell) in order:
0.00 3.11 2.98 0.00 0.00 0.00